[1]
First-principles (PBE-GGA) data for a geometry-optimized Rb2SrP2Se6 structure, as listed in the Alexandria database.

a b c (Å): 7.409 7.409 8.975
angles (deg): 65.62 65.62 60.00
Fractional positions:
Rb 0.778 0.778 0.666
Rb 0.222 0.222 0.334
Sr 0.000 0.000 0.000
P 0.450 0.450 0.650
P 0.550 0.550 0.350
Se 0.738 0.738 0.288
Se 0.237 0.738 0.288
Se 0.738 0.237 0.288
Se 0.262 0.763 0.712
Se 0.763 0.262 0.712
Se 0.262 0.262 0.712

The value obtained for the uncorrected formation energy is -0.783 eV per atom. The spin magnetization comes out at 0.00 μB per formula unit. The final energy comes out at -0.14686 hartree per atom.


[2]
First-principles (PBE-GGA) data for a geometry-optimized CePmPaCd structure, as listed in the Alexandria database.

a b c (Å): 5.370 5.370 5.370
angles (deg): 60.00 60.00 60.00
Each line ends with the local moment (μB).
Fractional positions:
Cd 0.750 0.750 0.750  -0.01
Pa 0.250 0.250 0.250  0.73
Ce 0.000 0.000 0.000  0.63
Pm 0.500 0.500 0.500  0.09

The spin magnetization comes out at 1.81 μB per formula unit. The final energy comes out at -0.18515 hartree per atom.


[3]
First-principles (PBE-GGA) data for a geometry-optimized KMg5In7 structure, as listed in the Alexandria database.

a b c (Å): 6.196 7.992 7.992
angles (deg): 82.62 67.19 67.19
Fractional positions:
K 0.997 0.003 0.003
Mg 0.499 0.001 0.498
Mg 0.002 0.001 0.498
Mg 0.499 0.498 0.001
Mg 0.002 0.498 0.001
Mg 0.731 0.769 0.769
In 0.645 0.355 0.355
In 0.341 0.659 0.659
In 0.996 0.351 0.656
In 0.996 0.656 0.351
In 0.277 0.223 0.223
In 0.506 0.789 0.200
In 0.506 0.200 0.789

The spin magnetization comes out at 0.00 μB per formula unit. The final energy comes out at -0.08265 hartree per atom.


[4]
First-principles (PBE-GGA) data for a geometry-optimized KNd2Cl7 structure, as listed in the Alexandria database.

a b c (Å): 5.475 8.264 8.264
angles (deg): 116.05 90.00 90.00
Fractional positions:
K 0.000 0.000 0.000
Nd 0.500 0.698 0.302
Nd 0.500 0.302 0.698
Cl 0.000 0.714 0.286
Cl 0.000 0.286 0.714
Cl 0.500 0.050 0.326
Cl 0.500 0.950 0.674
Cl 0.500 0.326 0.050
Cl 0.500 0.674 0.950
Cl 0.500 0.500 0.500

The value obtained for the uncorrected formation energy is -2.207 eV per atom. The spin magnetization comes out at 0.00 μB per formula unit. The final energy comes out at -0.16768 hartree per atom.


Number 4 is which compound?
KNd2Cl7